1.
Ca6Sn2HN | GGA-PBE | optimized geometry

Cell lengths 6.9757, 6.9758, 9.8678 Å; angles 90.00, 90.00, 90.00 degrees
Closest atoms and distances in Å follow each position.
Fractional coordinates of all 20 atoms:
Ca 0.5000 0.2499 0.2594  1 N 2.37, 1 H 2.56
Ca 0.5000 0.2499 0.7406  1 N 2.37, 1 H 2.56
Ca 0.0000 0.7501 0.2406  1 N 2.37, 1 H 2.56
Ca 0.0000 0.7501 0.7594  1 N 2.37, 1 H 2.56
Ca 0.2594 0.0092 0.5000  1 N 2.37, 1 H 2.56
Ca 0.7406 0.0092 0.5000  1 N 2.37, 1 H 2.56
Ca 0.2593 0.4904 0.5000  1 N 2.37, 1 H 2.56
Ca 0.7407 0.4904 0.5000  1 N 2.37, 1 H 2.56
Ca 0.7593 0.5096 0.0000  1 N 2.37, 1 H 2.56
Ca 0.2407 0.5096 0.0000  1 N 2.37, 1 H 2.56
Ca 0.2406 0.9908 0.0000  1 N 2.37, 1 H 2.56
Ca 0.7594 0.9908 0.0000  1 N 2.37, 1 H 2.56
Sn 0.5000 0.7499 0.2500  12 Ca 3.49
Sn 0.0000 0.2501 0.7500  12 Ca 3.49
Sn 0.5000 0.7499 0.7500  12 Ca 3.49
Sn 0.0000 0.2501 0.2500  12 Ca 3.49
H 0.0000 0.7497 0.5000  6 Ca 2.56
H 0.5000 0.2503 0.0000  6 Ca 2.56
N 0.5000 0.2498 0.5000  6 Ca 2.37
N 0.0000 0.7502 0.0000  6 Ca 2.37

***

2.
SrEu2Al2O7 | GGA-PBE | optimized geometry

Results
DOS(E_F): 11.85 states/eV/f.u.
E_form (uncorrected): -2.8999 eV per atom

Cell lengths 10.3275, 10.3275, 10.3275 Å; angles 158.99, 158.99, 29.89 degrees
Closest atoms and distances in Å follow each position.
Fractional coordinates of all 12 atoms:
Eu 0.3177 0.3177 0.0000  5 O 2.34-2.47
Eu 0.6823 0.6823 0.0000  5 O 2.34-2.47
Sr 0.5000 0.5000 0.0000  12 O 2.66-2.77
Al 0.9050 0.9050 0.0000  6 O 1.89-2.11
Al 0.0950 0.0950 0.0000  6 O 1.89-2.11
O 0.0000 0.0000 0.0000  2 Al 1.90
O 0.3979 0.8979 0.5000  2 Al 1.89
O 0.8979 0.3979 0.5000  2 Al 1.89
O 0.7995 0.7995 0.0000  1 Al 2.11, 1 Eu 2.34
O 0.2005 0.2005 0.0000  1 Al 2.11, 1 Eu 2.34
O 0.1021 0.6021 0.5000  2 Al 1.89
O 0.6021 0.1021 0.5000  2 Al 1.89

***

3.
Be2NiSb | GGA-PBE | optimized geometry

Results
DOS(E_F): 1.54 states/eV/f.u.
E_form (uncorrected): 0.1134 eV per atom

Cell lengths 4.1712, 4.1712, 4.0417 Å; angles 80.20, 80.20, 51.71 degrees
Closest atoms and distances in Å follow each position.
Fractional coordinates of all 4 atoms:
Sb 0.2500 0.2500 0.2500  4 Be 2.46-2.65, 4 Ni 2.72
Be 0.0386 0.0386 0.8532  2 Be 2.13, 1 Ni 2.28
Be 0.4614 0.4614 0.6468  2 Be 2.13, 1 Ni 2.28
Ni 0.7500 0.7500 0.7500  6 Be 2.28-2.40

***

4.
NdSm2P3Rh12 | GGA-PBE | optimized geometry

Results
Calculated formation energy: -340 meV per atom
DOS(E_F): 17.74 states/eV/f.u.

Cell lengths 6.7592, 6.7592, 6.7592 Å; angles 84.22, 84.22, 84.22 degrees
Closest atoms and distances in Å follow each position.
Fractional coordinates of all 18 atoms:
Nd 0.0000 0.0000 0.0000  6 Rh 2.72
Sm 0.6282 0.6282 0.6282  3 Rh 2.55
Sm 0.3718 0.3718 0.3718  3 Rh 2.55
P 0.5000 0.0000 0.0000  2 Rh 2.23
P 0.0000 0.5000 0.0000  2 Rh 2.23
P 0.0000 0.0000 0.5000  2 Rh 2.23
Rh 0.3680 0.3680 0.9098  2 P 2.59, 1 Rh 2.69
Rh 0.8202 0.8202 0.3389  1 P 2.23
Rh 0.3389 0.8202 0.8202  1 P 2.23
Rh 0.9098 0.3680 0.3680  2 P 2.59, 1 Rh 2.69
Rh 0.8202 0.3389 0.8202  1 P 2.23
Rh 0.3680 0.9098 0.3680  2 P 2.59, 1 Rh 2.69
Rh 0.6320 0.6320 0.0902  2 P 2.59, 1 Rh 2.69
Rh 0.1798 0.1798 0.6611  1 P 2.23
Rh 0.6611 0.1798 0.1798  1 P 2.23
Rh 0.0902 0.6320 0.6320  2 P 2.59, 1 Rh 2.69
Rh 0.1798 0.6611 0.1798  1 P 2.23
Rh 0.6320 0.0902 0.6320  2 P 2.59, 1 Rh 2.69

***

Results for size of the total moment: 0.0000 0.9998 0.0000 0.0000 (in μB per atom, following the order of the records).
Results for uncorrected energy: -79.2 -99.2 -16.9 -124.8 (in eV per cell, following the order of the records).